Below is a relaxed structure of La4MgGa2Fe2O12, with properties calculated at the GGA+U level.

a = 5.587 Å, b = 6.382 Å, c = 8.281 Å
α = 92.72°, β = 92.37°, γ = 90.67°
Each line ends with the local moment (μB).
Sites, in units of the cell vectors:
O  0.232  0.623  0.571  0.00
O  0.199  0.173  0.588  -0.01
O  0.740  0.342  0.426  0.01
O  0.806  0.862  0.420  -0.01
O  0.721  0.366  0.045  -0.02
O  0.619  0.024  0.740  0.00
O  0.144  0.506  0.216  -0.01
O  0.312  0.692  0.932  -0.01
O  0.241  0.139  0.949  0.01
O  0.872  0.520  0.764  -0.01
O  0.333  0.940  0.289  -0.02
O  0.778  0.865  0.047  0.01
Ga  0.495  0.949  0.948  0.00
Ga  0.996  0.405  0.570  0.00
La  0.474  0.396  0.785  0.00
La  0.012  0.898  0.742  0.00
La  0.990  0.148  0.207  0.00
La  0.573  0.612  0.237  0.00
Mg  0.109  0.740  0.374  0.00
Fe  0.008  0.535  0.994  2.01
Fe  0.522  0.038  0.491  1.94

Summary:
Calculated volume, Å³/f.u.: 295
Distance to the lowest polymorph of the same formula, eV per formula unit: 0.616
SG: P1